1.
{"formula": "LiGdSi4", "functional": "PBE-GGA", "state": "relaxed", "cell": [[5.220, 0.000, 0.000], [2.610, 4.521, 0.000], [2.610, 1.507, 4.262]], "species": ["Si", "Si", "Si", "Si", "Gd", "Li"], "frac_coords": [[0.627, 0.118, 0.627], [0.627, 0.627, 0.627], [0.627, 0.627, 0.118], [0.118, 0.627, 0.627], [0.250, 0.250, 0.250], [0.000, 0.000, 0.000]], "volume_a3_per_atom": 16.76, "space_group": "F-43m (216)", "raw_formation_energy_mev_per_atom": -278, "dft_energy_ev_per_atom": -6.559, "dos_ef_per_ev_fu": 1.2}

***

2.
{"formula": "Zr2Al2Au3", "functional": "PBE-GGA", "state": "relaxed", "cell": [[-1.998, -0.343, -3.467], [-2.817, -2.087, 4.156], [-0.541, 6.983, -0.379]], "species": ["Au", "Au", "Au", "Zr", "Zr", "Al", "Al"], "frac_coords": [[0.380, 0.759, 0.555], [0.500, 0.000, 0.000], [0.620, 0.241, 0.445], [0.149, 0.299, 0.792], [0.851, 0.701, 0.208], [0.146, 0.291, 0.210], [0.854, 0.709, 0.790]], "volume_a3_per_atom": 18.52, "space_group": "C2/m (12)", "formation_energy_ev_per_atom": -0.53, "e_above_lowest_polymorph_ev_per_atom": 0.000, "dft_energy_ev_per_atom": -5.446, "dos_ef_per_ev_fu": 2.7}

***

3.
{"formula": "La3TmSi4", "functional": "PBE-GGA", "state": "relaxed", "cell": [[-1.443, 4.048, -0.497], [-4.007, -0.844, 4.759], [8.403, 1.068, 3.122]], "species": ["Si", "Si", "Si", "Si", "La", "La", "La", "Tm"], "frac_coords": [[0.627, 0.814, 0.255], [0.373, 0.186, 0.745], [0.373, 0.559, 0.745], [0.627, 0.441, 0.255], [0.195, 0.195, 0.390], [0.000, 0.500, 0.000], [0.805, 0.805, 0.610], [0.500, 0.000, 0.000]], "volume_a3_per_atom": 27.79, "space_group": "Immm (71)", "raw_formation_energy_mev_per_atom": -568, "dft_energy_ev_per_atom": -5.686, "dos_ef_per_ev_fu": 9.2}

***

4.
{"formula": "ZnSi5", "functional": "PBE-GGA", "state": "relaxed", "cell": [[1.305, -7.494, 0.000], [1.305, 7.494, 0.000], [0.000, 0.000, 4.677]], "species": ["Si", "Si", "Si", "Si", "Si", "Zn"], "frac_coords": [[0.639, 0.361, 0.000], [0.464, 0.536, 0.500], [0.813, 0.187, 0.500], [0.293, 0.707, 0.000], [0.985, 0.015, 0.000], [0.139, 0.861, 0.500]], "volume_a3_per_atom": 15.25, "space_group": "Cmmm (65)", "e_above_lowest_polymorph_ev_per_atom": 0.068, "raw_formation_energy_mev_per_atom": 407, "dft_energy_ev_per_atom": -4.325, "dos_ef_per_ev_fu": 1.9}

***

5.
{"formula": "Si2SbRu", "functional": "PBE-GGA", "state": "relaxed", "cell": [[4.276, 0.003, -0.002], [3.131, 2.912, -0.002], [1.409, 0.554, 5.691]], "species": ["Ru", "Si", "Si", "Sb"], "frac_coords": [[0.750, 0.750, 0.750], [0.489, 0.489, 0.582], [0.011, 0.011, 0.918], [0.250, 0.250, 0.250]], "volume_a3_per_atom": 17.70, "space_group": "C2/m (12)", "raw_formation_energy_mev_per_atom": 78, "dft_energy_ev_per_atom": -5.983, "dos_ef_per_ev_fu": 1.7}

***

6.
{"formula": "Mg6Cd5Sn", "functional": "PBE-GGA", "state": "relaxed", "cell": [[-1.791, -1.570, -3.788], [6.082, -6.045, -0.371], [-6.161, -0.458, 5.746]], "species": ["Cd", "Cd", "Cd", "Cd", "Cd", "Mg", "Mg", "Mg", "Mg", "Mg", "Mg", "Sn"], "frac_coords": [[0.671, 0.171, 0.342], [0.000, 0.500, 0.000], [0.329, 0.829, 0.658], [0.667, 0.667, 0.334], [0.333, 0.333, 0.666], [0.833, 0.084, 0.666], [0.833, 0.581, 0.666], [0.500, 0.748, 0.000], [0.167, 0.916, 0.334], [0.167, 0.419, 0.334], [0.500, 0.252, 0.000], [0.000, 0.000, 0.000]], "volume_a3_per_atom": 22.12, "space_group": "Immm (71)", "formation_energy_ev_per_atom": -0.10, "dft_energy_ev_per_atom": -1.613, "dos_ef_per_ev_fu": 3.6}

***

7.
{"formula": "LiFeH", "functional": "PBE-GGA", "state": "relaxed", "cell": [[4.435, 0.000, -0.012], [0.000, 2.582, 0.000], [-1.542, 0.000, 9.035]], "species": ["Li", "Li", "Li", "Li", "H", "H", "H", "H", "Fe", "Fe", "Fe", "Fe"], "frac_coords": [[0.000, 0.000, 0.500], [0.500, 0.500, 0.500], [0.000, 0.500, 0.000], [0.500, 0.000, 0.000], [0.115, 0.500, 0.352], [0.885, 0.000, 0.148], [0.885, 0.500, 0.648], [0.115, 0.000, 0.852], [0.737, 0.500, 0.245], [0.263, 0.000, 0.255], [0.737, 0.000, 0.745], [0.263, 0.500, 0.755]], "volume_a3_per_atom": 8.62, "space_group": "C2/m (12)", "dft_energy_ev_per_atom": -4.585, "dos_ef_per_ev_fu": 1.9}

***

8.
{"formula": "TbTc6", "functional": "PBE-GGA", "state": "relaxed", "cell": [[5.857, 0.000, 0.000], [-1.952, 5.522, 0.000], [-1.952, -2.761, 4.782]], "species": ["Tc", "Tc", "Tc", "Tc", "Tc", "Tc", "Tb"], "frac_coords": [[0.250, 0.750, 0.500], [0.500, 0.250, 0.750], [0.750, 0.250, 0.500], [0.500, 0.750, 0.250], [0.250, 0.500, 0.750], [0.750, 0.500, 0.250], [0.000, 0.000, 0.000]], "volume_a3_per_atom": 22.10, "space_group": "Im-3m (229)", "formation_energy_ev_per_atom": 0.86, "e_above_lowest_polymorph_ev_per_atom": 0.842, "dft_energy_ev_per_atom": -8.688, "dos_ef_per_ev_fu": 6.2}